# 1
An optimized crystal structure of Na4MnO5. Source: the Alexandria database, functional PBE+U.

abc: 7.008 7.008 5.532
angles: 90.00 90.00 90.00
Space group I4 (No. 79)
Symmetry-distinct sites (fractional):
Na 0.001 0.281 0.000 (multiplicity 8)
Mn 0.000 0.000 0.542 (multiplicity 2)
O 0.000 0.000 0.228 (multiplicity 2)
O 0.176 0.178 0.647 (multiplicity 8)

=====

# 2
An optimized crystal structure of NaMnO2. Source: the Alexandria database, functional PBE+U.

abc: 5.765 2.924 5.864
angles: 90.00 113.07 90.00
Space group C2/m (No. 12)
Symmetry-distinct sites (fractional):
Na 0.000 0.000 0.000 (multiplicity 2)
Mn 0.000 0.500 0.500 (multiplicity 2)
O 0.206 0.000 0.706 (multiplicity 4)

=====

# 3
An optimized crystal structure of Na5MnO5. Source: the Alexandria database, functional PBE+U.

abc: 6.204 10.211 9.866
angles: 90.00 107.09 90.00
Space group C2/c (No. 15)
Symmetry-distinct sites (fractional):
Na 0.000 0.159 0.250 (multiplicity 4)
Na 0.174 0.110 0.555 (multiplicity 8)
Na 0.181 0.341 0.085 (multiplicity 8)
Mn 0.000 0.403 0.750 (multiplicity 4)
O 0.000 0.423 0.250 (multiplicity 4)
O 0.119 0.322 0.629 (multiplicity 8)
O 0.203 0.105 0.105 (multiplicity 8)

=====

# 4
An optimized crystal structure of NaMnO2. Source: the Alexandria database, functional PBE+U.

abc: 10.988 3.176 5.238
angles: 90.00 101.35 90.00
Space group C2/c (No. 15)
Symmetry-distinct sites (fractional):
Na 0.000 0.222 0.250 (multiplicity 4)
Mn 0.250 0.250 0.000 (multiplicity 4)
O 0.150 0.310 0.644 (multiplicity 8)

=====

# 5
An optimized crystal structure of NaMn3O4. Source: the Alexandria database, functional PBE+U.

abc: 6.481 8.773 3.206
angles: 90.00 93.53 90.00
Space group C2/m (No. 12)
Symmetry-distinct sites (fractional):
Na 0.000 0.000 0.000 (multiplicity 2)
Mn 0.000 0.500 0.000 (multiplicity 2)
Mn 0.250 0.250 0.500 (multiplicity 4)
O 0.000 0.271 0.000 (multiplicity 4)
O 0.224 0.500 0.450 (multiplicity 4)

=====

# 6
An optimized crystal structure of NaMn2O4. Source: the Alexandria database, functional PBE+U.

abc: 9.017 2.919 11.323
angles: 90.00 90.00 90.00
Space group Pnma (No. 62)
Symmetry-distinct sites (fractional):
Na 0.249 0.250 0.164 (multiplicity 4)
Mn 0.071 0.250 0.389 (multiplicity 4)
Mn 0.081 0.250 0.904 (multiplicity 4)
O 0.027 0.750 0.802 (multiplicity 4)
O 0.068 0.250 0.585 (multiplicity 4)
O 0.117 0.750 0.019 (multiplicity 4)
O 0.212 0.750 0.348 (multiplicity 4)

=====

# 7
An optimized crystal structure of NaMnO. Source: the Alexandria database, functional PBE+U.

abc: 5.697 6.452 5.799
angles: 90.00 110.17 90.00
Space group P2_1/c (No. 14)
Symmetry-distinct sites (fractional):
Na 0.247 0.129 0.018 (multiplicity 4)
Mn 0.212 0.617 0.959 (multiplicity 4)
O 0.043 0.628 0.232 (multiplicity 4)

=====

# 8
An optimized crystal structure of Na5Mn7O15. Source: the Alexandria database, functional PBE+U.

abc: 6.282 6.351 10.030
angles: 89.65 76.88 60.39
Space group P1 (No. 1)
Symmetry-distinct sites (fractional):
Na 0.000 0.000 0.000 (multiplicity 1)
Na 0.017 0.479 0.494 (multiplicity 1)
Na 0.131 0.436 0.828 (multiplicity 1)
Na 0.219 0.398 0.144 (multiplicity 1)
Na 0.252 0.865 0.646 (multiplicity 1)
Mn 0.116 0.938 0.322 (multiplicity 1)
Mn 0.606 0.701 0.072 (multiplicity 1)
Mn 0.615 0.939 0.323 (multiplicity 1)
Mn 0.616 0.438 0.323 (multiplicity 1)
Mn 0.629 0.172 0.574 (multiplicity 1)
Mn 0.651 0.893 0.809 (multiplicity 1)
Mn 0.658 0.430 0.808 (multiplicity 1)
O 0.373 0.848 0.422 (multiplicity 1)
O 0.382 0.608 0.204 (multiplicity 1)
O 0.410 0.016 0.188 (multiplicity 1)
O 0.426 0.073 0.704 (multiplicity 1)
O 0.430 0.791 0.924 (multiplicity 1)
O 0.441 0.271 0.429 (multiplicity 1)
O 0.450 0.480 0.689 (multiplicity 1)
O 0.793 0.605 0.218 (multiplicity 1)
O 0.796 0.384 0.964 (multiplicity 1)
O 0.811 0.806 0.955 (multiplicity 1)
O 0.815 0.074 0.726 (multiplicity 1)
O 0.817 0.864 0.456 (multiplicity 1)
O 0.838 0.594 0.712 (multiplicity 1)
O 0.849 0.266 0.441 (multiplicity 1)
O 0.857 0.030 0.222 (multiplicity 1)

=====

# 9
An optimized crystal structure of NaMnO2. Source: the Alexandria database, functional PBE+U.

abc: 2.921 5.725 10.923
angles: 90.00 90.00 90.00
Space group Cmcm (No. 63)
Symmetry-distinct sites (fractional):
Na 0.000 0.198 0.250 (multiplicity 4)
Mn 0.000 0.500 0.000 (multiplicity 4)
O 0.000 0.125 0.602 (multiplicity 8)

=====

# 10
An optimized crystal structure of Na2Mn2O3. Source: the Alexandria database, functional PBE+U.

abc: 6.169 6.083 6.187
angles: 90.00 118.57 90.00
Space group P2_1/c (No. 14)
Symmetry-distinct sites (fractional):
Na 0.115 0.154 0.398 (multiplicity 4)
Mn 0.343 0.623 0.585 (multiplicity 4)
O 0.000 0.000 0.000 (multiplicity 2)
O 0.342 0.575 0.238 (multiplicity 4)

=====

# 11
An optimized crystal structure of NaMnO2. Source: the Alexandria database, functional PBE+U.

abc: 5.580 5.580 6.646
angles: 90.00 90.00 90.00
Space group I-42d (No. 122)
Symmetry-distinct sites (fractional):
Na 0.000 0.000 0.000 (multiplicity 4)
Mn 0.000 0.000 0.500 (multiplicity 4)
O 0.188 0.250 0.625 (multiplicity 8)

=====

# 12
An optimized crystal structure of NaMn2O4. Source: the Alexandria database, functional PBE+U.

abc: 2.921 6.599 9.026
angles: 90.00 90.00 90.00
Space group Pmc2_1 (No. 26)
Symmetry-distinct sites (fractional):
Na 0.000 0.001 0.000 (multiplicity 2)
Mn 0.000 0.499 0.499 (multiplicity 2)
Mn 0.500 0.282 0.750 (multiplicity 2)
O 0.000 0.095 0.750 (multiplicity 2)
O 0.000 0.480 0.749 (multiplicity 2)
O 0.500 0.301 0.531 (multiplicity 2)
O 0.500 0.302 0.968 (multiplicity 2)

=====

Ordered total energy results: -4.87; -6.35; -4.87; -6.33; -7.07; -6.73; -5.58; -6.43; -6.33; -6.11; -6.17; -6.72; unit eV/atom.